Version i
DFT (PBE) results for a geometry-optimized Mg4AlZn2 structure.

Geometry as POSCAR:
```
Mg4AlZn2
1.0
2.258 1.304 8.772
-2.258 1.304 8.772
0.000 -2.608 8.772
Mg Al Zn
4 1 2
direct
0.116 0.116 0.116 Mg
0.298 0.298 0.298 Mg
0.702 0.702 0.702 Mg
0.884 0.884 0.884 Mg
0.500 0.500 0.500 Al
0.405 0.405 0.405 Zn
0.595 0.595 0.595 Zn
```

* crystal system: trigonal
* N(E_F): 2.58 states/eV per cell
* space-group type: No. 166
* size of the total moment: 0.00 μB per cell

***

Version ii
DFT (PBE) results for a geometry-optimized Mg4AlZn2 structure.

Geometry as POSCAR:
```
Mg4AlZn2
1.0
2.337 1.350 7.431
-2.337 1.350 7.431
0.000 -2.699 7.431
Mg Al Zn
4 1 2
direct
0.115 0.115 0.115 Mg
0.369 0.369 0.369 Mg
0.631 0.631 0.631 Mg
0.885 0.885 0.885 Mg
0.500 0.500 0.500 Al
0.245 0.245 0.245 Zn
0.755 0.755 0.755 Zn
```

* crystal system: trigonal
* N(E_F): 2.63 states/eV per cell
* space-group type: No. 166
* size of the total moment: 0.00 μB per cell

***

What is the stability order? It is version ii, version i, from most stable to least stable.

***

Version i
DFT (PBE) results for a geometry-optimized MgAlZn4 structure.

Geometry as POSCAR:
```
MgAlZn4
1.0
4.207 0.000 0.000
0.000 6.155 0.000
0.000 0.000 7.790
Mg Al Zn
2 2 8
direct
0.000 0.000 0.000 Mg
0.500 0.500 0.500 Mg
0.000 0.500 0.000 Al
0.500 0.000 0.500 Al
0.000 0.232 0.337 Zn
0.000 0.232 0.663 Zn
0.000 0.768 0.337 Zn
0.000 0.768 0.663 Zn
0.500 0.268 0.163 Zn
0.500 0.268 0.837 Zn
0.500 0.732 0.163 Zn
0.500 0.732 0.837 Zn
```

* crystal system: orthorhombic
* N(E_F): 3.55 states/eV per cell
* space-group type: No. 71
* size of the total moment: 0.00 μB per cell

***

Version ii
DFT (PBE) results for a geometry-optimized MgAlZn4 structure.

Geometry as POSCAR:
```
MgAlZn4
1.0
0.000 3.674 3.674
3.674 0.000 3.674
3.674 3.674 0.000
Mg Al Zn
1 1 4
direct
0.000 0.000 0.000 Mg
0.750 0.750 0.750 Al
0.375 0.375 0.375 Zn
0.375 0.375 0.876 Zn
0.375 0.876 0.375 Zn
0.876 0.375 0.375 Zn
```

* crystal system: cubic
* N(E_F): 1.60 states/eV per cell
* space-group type: No. 216
* size of the total moment: 0.00 μB per cell

***

What is the stability order? It is version ii, version i, from most stable to least stable.

***

Version i
DFT (PBE) results for a geometry-optimized Mg2AlZn3 structure.

Geometry as POSCAR:
```
Mg2AlZn3
1.0
0.000 4.433 7.703
3.097 0.000 7.703
3.097 4.433 0.000
Mg Al Zn
4 2 6
direct
0.248 0.752 0.752 Mg
0.250 0.250 0.250 Mg
0.750 0.750 0.750 Mg
0.752 0.248 0.248 Mg
0.333 0.333 0.667 Al
0.667 0.667 0.333 Al
0.166 0.166 0.834 Zn
0.167 0.668 0.332 Zn
0.332 0.833 0.167 Zn
0.668 0.167 0.833 Zn
0.833 0.332 0.668 Zn
0.834 0.834 0.166 Zn
```

* crystal system: orthorhombic
* N(E_F): 3.87 states/eV per cell
* space-group type: No. 69
* size of the total moment: 0.00 μB per cell

***

Version ii
DFT (PBE) results for a geometry-optimized Mg2AlZn3 structure.

Geometry as POSCAR:
```
Mg2AlZn3
1.0
9.148 0.000 0.000
0.000 5.234 0.000
-2.999 0.000 4.332
Mg Al Zn
4 2 6
direct
0.126 0.000 0.375 Mg
0.374 0.500 0.625 Mg
0.626 0.500 0.375 Mg
0.874 0.000 0.625 Mg
0.000 0.500 0.000 Al
0.500 0.000 0.000 Al
0.000 0.500 0.500 Zn
0.250 0.250 0.000 Zn
0.250 0.750 0.000 Zn
0.500 0.000 0.500 Zn
0.750 0.250 0.000 Zn
0.750 0.750 0.000 Zn
```

* crystal system: monoclinic
* N(E_F): 3.11 states/eV per cell
* space-group type: No. 12
* size of the total moment: 0.00 μB per cell

***

What is the stability order? It is version ii, version i, from most stable to least stable.

***

Version i
DFT (PBE) results for a geometry-optimized MgAlZn structure.

Geometry as POSCAR:
```
MgAlZn
1.0
4.208 0.000 0.000
0.000 12.214 0.000
0.000 0.000 4.135
Mg Al Zn
4 4 4
direct
0.000 0.090 0.250 Mg
0.000 0.910 0.750 Mg
0.500 0.410 0.750 Mg
0.500 0.590 0.250 Mg
0.000 0.408 0.250 Al
0.000 0.592 0.750 Al
0.500 0.092 0.750 Al
0.500 0.908 0.250 Al
0.000 0.250 0.750 Zn
0.000 0.750 0.250 Zn
0.500 0.250 0.250 Zn
0.500 0.750 0.750 Zn
```

* crystal system: orthorhombic
* N(E_F): 4.48 states/eV per cell
* space-group type: No. 63
* size of the total moment: 0.00 μB per cell

***

Version ii
DFT (PBE) results for a geometry-optimized MgAlZn structure.

Geometry as POSCAR:
```
MgAlZn
1.0
6.406 0.000 0.000
0.000 6.406 0.000
0.000 0.000 6.406
Mg Al Zn
4 4 4
direct
0.000 0.000 0.000 Mg
0.000 0.500 0.500 Mg
0.500 0.000 0.500 Mg
0.500 0.500 0.000 Mg
0.250 0.250 0.750 Al
0.250 0.750 0.250 Al
0.750 0.250 0.250 Al
0.750 0.750 0.750 Al
0.250 0.250 0.250 Zn
0.250 0.750 0.750 Zn
0.750 0.250 0.750 Zn
0.750 0.750 0.250 Zn
```

* crystal system: cubic
* N(E_F): 6.76 states/eV per cell
* space-group type: No. 216
* size of the total moment: 0.00 μB per cell

***

Version iii
DFT (PBE) results for a geometry-optimized MgAlZn structure.

Geometry as POSCAR:
```
MgAlZn
1.0
3.073 0.000 0.000
0.000 3.073 0.000
0.000 0.000 11.364
Mg Al Zn
2 2 2
direct
0.000 0.000 0.000 Mg
0.500 0.500 0.500 Mg
0.000 0.000 0.684 Al
0.500 0.500 0.184 Al
0.000 0.000 0.330 Zn
0.500 0.500 0.830 Zn
```

* crystal system: tetragonal
* N(E_F): 1.37 states/eV per cell
* space-group type: No. 107
* size of the total moment: 0.00 μB per cell

***

What is the stability order? It is version i, version iii, version ii, from most stable to least stable.

***

Version i
DFT (PBE) results for a geometry-optimized MgAlZn structure.

Geometry as POSCAR:
```
MgAlZn
1.0
6.180 0.000 0.000
0.000 6.180 0.000
0.000 0.000 6.180
Mg Al Zn
4 4 4
direct
0.000 0.000 0.000 Mg
0.000 0.500 0.500 Mg
0.500 0.000 0.500 Mg
0.500 0.500 0.000 Mg
0.000 0.000 0.500 Al
0.000 0.500 0.000 Al
0.500 0.000 0.000 Al
0.500 0.500 0.500 Al
0.250 0.250 0.750 Zn
0.250 0.750 0.250 Zn
0.750 0.250 0.250 Zn
0.750 0.750 0.750 Zn
```

* crystal system: cubic
* N(E_F): 5.98 states/eV per cell
* space-group type: No. 216
* size of the total moment: 0.00 μB per cell

***

Version ii
DFT (PBE) results for a geometry-optimized MgAlZn structure.

Geometry as POSCAR:
```
MgAlZn
1.0
4.579 0.000 0.000
-2.290 3.966 0.000
0.000 0.000 2.967
Mg Al Zn
1 1 1
direct
0.000 0.000 0.000 Mg
0.667 0.333 0.500 Al
0.333 0.667 0.500 Zn
```

* crystal system: hexagonal
* N(E_F): 1.01 states/eV per cell
* space-group type: No. 187
* size of the total moment: 0.00 μB per cell

***

What is the stability order? It is version ii, version i, from most stable to least stable.

***

Version i
DFT (PBE) results for a geometry-optimized MgAlZn structure.

Geometry as POSCAR:
```
MgAlZn
1.0
-4.070 5.870 3.411
4.070 -5.870 3.411
4.070 5.870 -3.411
Mg Al Zn
6 6 6
direct
0.000 0.250 0.250 Mg
0.000 0.750 0.750 Mg
0.413 0.370 0.543 Mg
0.413 0.870 0.043 Mg
0.827 0.370 0.957 Mg
0.827 0.870 0.457 Mg
0.167 0.290 0.878 Al
0.167 0.789 0.377 Al
0.412 0.289 0.122 Al
0.412 0.790 0.623 Al
0.659 0.159 0.500 Al
0.659 0.659 0.000 Al
0.080 0.413 0.667 Zn
0.080 0.913 0.166 Zn
0.413 0.163 0.750 Zn
0.413 0.663 0.250 Zn
0.746 0.413 0.333 Zn
0.746 0.913 0.834 Zn
```

* crystal system: orthorhombic
* N(E_F): 7.27 states/eV per cell
* space-group type: No. 46
* size of the total moment: 0.00 μB per cell

***

Version ii
DFT (PBE) results for a geometry-optimized MgAlZn structure.

Geometry as POSCAR:
```
MgAlZn
1.0
5.143 0.000 0.000
0.000 5.491 0.000
0.000 0.000 7.617
Mg Al Zn
4 4 4
direct
0.000 0.250 0.124 Mg
0.000 0.750 0.876 Mg
0.500 0.250 0.376 Mg
0.500 0.750 0.624 Mg
0.000 0.000 0.500 Al
0.000 0.500 0.500 Al
0.500 0.000 0.000 Al
0.500 0.500 0.000 Al
0.250 0.250 0.750 Zn
0.250 0.750 0.250 Zn
0.750 0.250 0.750 Zn
0.750 0.750 0.250 Zn
```

* crystal system: orthorhombic
* N(E_F): 4.09 states/eV per cell
* space-group type: No. 74
* size of the total moment: 0.00 μB per cell

***

Version iii
DFT (PBE) results for a geometry-optimized MgAlZn structure.

Geometry as POSCAR:
```
MgAlZn
1.0
2.964 0.000 0.000
0.000 4.037 0.000
0.000 0.000 8.964
Mg Al Zn
2 2 2
direct
0.000 0.000 0.000 Mg
0.500 0.500 0.500 Mg
0.000 0.000 0.323 Al
0.500 0.500 0.823 Al
0.000 0.000 0.673 Zn
0.500 0.500 0.173 Zn
```

* crystal system: orthorhombic
* N(E_F): 1.59 states/eV per cell
* space-group type: No. 44
* size of the total moment: 0.00 μB per cell

***

What is the stability order? It is version i, version ii, version iii, from most stable to least stable.

***

Version i
DFT (PBE) results for a geometry-optimized Mg6AlZn structure.

Geometry as POSCAR:
```
Mg6AlZn
1.0
5.491 0.000 0.000
-0.043 5.495 0.000
-0.059 -0.002 5.505
Mg Al Zn
6 1 1
direct
0.001 0.499 0.249 Mg
0.249 0.000 0.496 Mg
0.497 0.249 0.001 Mg
0.503 0.751 0.999 Mg
0.751 0.000 0.504 Mg
0.999 0.501 0.751 Mg
0.500 0.500 0.500 Al
0.000 0.000 0.000 Zn
```

* crystal system: triclinic
* N(E_F): 3.77 states/eV per cell
* space-group type: No. 2
* size of the total moment: 0.00 μB per cell

***

Version ii
DFT (PBE) results for a geometry-optimized Mg6AlZn structure.

Geometry as POSCAR:
```
Mg6AlZn
1.0
4.575 0.000 0.000
0.000 4.575 0.000
0.000 0.000 16.063
Mg Al Zn
12 2 2
direct
0.000 0.000 0.250 Mg
0.000 0.000 0.750 Mg
0.000 0.500 0.113 Mg
0.000 0.500 0.387 Mg
0.000 0.500 0.613 Mg
0.000 0.500 0.887 Mg
0.500 0.000 0.113 Mg
0.500 0.000 0.387 Mg
0.500 0.000 0.613 Mg
0.500 0.000 0.887 Mg
0.500 0.500 0.250 Mg
0.500 0.500 0.750 Mg
0.000 0.000 0.000 Al
0.500 0.500 0.500 Al
0.000 0.000 0.500 Zn
0.500 0.500 0.000 Zn
```

* crystal system: tetragonal
* N(E_F): 6.66 states/eV per cell
* space-group type: No. 139
* size of the total moment: 0.00 μB per cell

***

What is the stability order? It is version ii, version i, from most stable to least stable.

***

Version i
DFT (PBE) results for a geometry-optimized Mg6AlZn structure.

Geometry as POSCAR:
```
Mg6AlZn
1.0
4.972 0.000 0.000
0.000 6.302 0.000
0.000 0.000 10.599
Mg Al Zn
12 2 2
direct
0.000 0.000 0.000 Mg
0.000 0.243 0.745 Mg
0.000 0.257 0.245 Mg
0.000 0.500 0.500 Mg
0.000 0.743 0.245 Mg
0.000 0.757 0.745 Mg
0.500 0.000 0.172 Mg
0.500 0.246 0.425 Mg
0.500 0.254 0.925 Mg
0.500 0.500 0.672 Mg
0.500 0.746 0.925 Mg
0.500 0.754 0.425 Mg
0.000 0.000 0.498 Al
0.000 0.500 0.998 Al
0.500 0.000 0.673 Zn
0.500 0.500 0.173 Zn
```

* crystal system: orthorhombic
* N(E_F): 6.60 states/eV per cell
* space-group type: No. 38
* size of the total moment: 0.00 μB per cell

***

Version ii
DFT (PBE) results for a geometry-optimized Mg6AlZn structure.

Geometry as POSCAR:
```
Mg6AlZn
1.0
4.964 0.000 0.000
0.000 6.311 0.000
0.000 0.000 10.586
Mg Al Zn
12 2 2
direct
0.000 0.000 0.000 Mg
0.000 0.000 0.500 Mg
0.000 0.249 0.255 Mg
0.000 0.251 0.755 Mg
0.000 0.500 0.000 Mg
0.000 0.500 0.500 Mg
0.000 0.749 0.755 Mg
0.000 0.751 0.255 Mg
0.500 0.250 0.083 Mg
0.500 0.250 0.583 Mg
0.500 0.750 0.083 Mg
0.500 0.750 0.583 Mg
0.500 0.000 0.834 Al
0.500 0.500 0.334 Al
0.500 0.000 0.335 Zn
0.500 0.500 0.835 Zn
```

* crystal system: orthorhombic
* N(E_F): 5.15 states/eV per cell
* space-group type: No. 38
* size of the total moment: 0.00 μB per cell

***

What is the stability order? It is version ii, version i, from most stable to least stable.